Entry 1:
The following is a DFT calculation (PBE) of Dy7Tm16Th6 after structural relaxation.

```
data_Dy7Tm16Th6
_chemical_formula_sum 'Dy28 Tm64 Th24'
_symmetry_space_group_name_H-M 'F m -3 m'
_symmetry_Int_Tables_number 225
_symmetry_space_group_name_Hall '-F 4 2 3'
_cell_length_a 15.519
_cell_length_b 15.519
_cell_length_c 15.519
_cell_angle_alpha 90.00
_cell_angle_beta 90.00
_cell_angle_gamma 90.00
loop_
_atom_site_label
_atom_site_type_symbol
_atom_site_fract_x
_atom_site_fract_y
_atom_site_fract_z
Dy1 Dy 0.000 0.000 0.000
Dy2 Dy 0.000 0.250 0.250
Tm1 Tm 0.120 0.120 0.120
Tm2 Tm 0.159 0.159 0.341
Th1 Th 0.000 0.000 0.330
```

Calculated formation energy in meV per atom: 316
E_tot in eV/atom: -4.7973

=====

Entry 2:
The following is a DFT calculation (PBE) of TbCeGdEr after structural relaxation.

```
data_TbCeGdEr
_chemical_formula_sum 'Tb4 Ce4 Gd4 Er4'
_symmetry_space_group_name_H-M 'F -4 3 m'
_symmetry_Int_Tables_number 216
_symmetry_space_group_name_Hall 'F -4 2 3'
_cell_length_a 7.990
_cell_length_b 7.990
_cell_length_c 7.990
_cell_angle_alpha 90.00
_cell_angle_beta 90.00
_cell_angle_gamma 90.00
loop_
_atom_site_label
_atom_site_type_symbol
_atom_site_fract_x
_atom_site_fract_y
_atom_site_fract_z
Tb1 Tb 0.000 0.000 0.000
Ce1 Ce 0.250 0.250 0.750
Gd1 Gd 0.000 0.000 0.500
Er1 Er 0.250 0.250 0.250
```

Calculated formation energy in meV per atom: 192
E_tot in eV/atom: -7.1098

=====

Entry 3:
The following is a DFT calculation (PBE) of Hf2HgRu2 after structural relaxation.

```
data_Hf2HgRu2
_chemical_formula_sum 'Hf4 Hg2 Ru4'
_symmetry_space_group_name_H-M 'P 4/m b m'
_symmetry_Int_Tables_number 127
_symmetry_space_group_name_Hall '-P 4 2ab'
_cell_length_a 7.578
_cell_length_b 7.578
_cell_length_c 3.221
_cell_angle_alpha 90.00
_cell_angle_beta 90.00
_cell_angle_gamma 90.00
loop_
_atom_site_label
_atom_site_type_symbol
_atom_site_fract_x
_atom_site_fract_y
_atom_site_fract_z
Hf1 Hf 0.154 0.346 0.000
Hg1 Hg 0.000 0.000 0.500
Ru1 Ru 0.142 0.642 0.500
```

Calculated formation energy in meV per atom: -344
E_tot in eV/atom: -8.0959

=====

Question: Which value of calculated formation energy does entry 3 give?
Answer: -344 meV per atom